The following is a DFT calculation (GGA+U) of Cs2MnBr6F after structural relaxation.

Lattice parameters (Å, degrees): 7.771 7.771 7.771 116.41 116.41 96.35
Fractional positions:
Cs1 0.250 0.750 0.500
Cs2 0.750 0.250 0.500
Mn1 0.000 0.000 0.000
Br1 0.213 0.213 0.427
Br2 0.213 0.787 0.000
Br3 0.290 0.290 0.000
Br4 0.710 0.710 0.000
Br5 0.787 0.213 0.000
Br6 0.787 0.787 0.573
F1 0.500 0.500 0.000

Results
* magnetic moment: 4.0 Bohr magnetons per cell
* energy: -31.64 eV/cell
* Fermi-level density of states: 0.00 states/eV per atom
* symmetry: I4/mmm, No. 139